No. 1
# Sm5HoAs6, relaxed, DFT PBE
data_Sm5HoAs6
_chemical_formula_sum 'Sm10 Ho2 As12'
_symmetry_space_group_name_H-M 'C 1 2/m 1'
_symmetry_Int_Tables_number 12
_cell_length_a 7.271
_cell_length_b 12.588
_cell_length_c 7.268
_cell_angle_alpha 90.00
_cell_angle_beta 109.49
_cell_angle_gamma 90.00
loop_
_symmetry_equiv_pos_as_xyz
'x,y,z'
'-x,-y,-z'
'-x,y,-z'
'x,-y,z'
'x+1/2,y+1/2,z'
'-x+1/2,-y+1/2,-z'
'-x+1/2,y+1/2,-z'
'x+1/2,-y+1/2,z'
loop_
_atom_site_label
_atom_site_type_symbol
_atom_site_fract_x
_atom_site_fract_y
_atom_site_fract_z
Sm1 Sm 0.000 0.000 0.000
Sm2 Sm 0.000 0.166 0.500
Sm3 Sm 0.000 0.333 0.000
Ho1 Ho 0.000 0.500 0.500
As1 As 0.247 0.335 0.747
As2 As 0.247 0.500 0.252
# D(E_F)   1.2 states/eV/f.u.
# E_form   -1.53 eV per atom
# Theoretical density   7.24 g/cm³
# Raw total energy   -6.1986 eV/atom

=====

No. 2
# Tb5SmYSc2, relaxed, DFT PBE
data_Tb5SmYSc2
_chemical_formula_sum 'Tb20 Sm4 Y4 Sc8'
_symmetry_space_group_name_H-M 'C m c 21'
_symmetry_Int_Tables_number 36
_cell_length_a 5.609
_cell_length_b 21.576
_cell_length_c 9.348
_cell_angle_alpha 90.00
_cell_angle_beta 90.00
_cell_angle_gamma 90.00
loop_
_symmetry_equiv_pos_as_xyz
'x,y,z'
'-x,-y,z+1/2'
'-x,y,z'
'x,-y,z+1/2'
'x+1/2,y+1/2,z'
'-x+1/2,-y+1/2,z+1/2'
'-x+1/2,y+1/2,z'
'x+1/2,-y+1/2,z+1/2'
loop_
_atom_site_label
_atom_site_type_symbol
_atom_site_fract_x
_atom_site_fract_y
_atom_site_fract_z
Tb1 Tb 0.000 0.009 0.000
Tb2 Tb 0.000 0.265 0.318
Tb3 Tb 0.000 0.307 0.704
Tb4 Tb 0.000 0.392 0.030
Tb5 Tb 0.000 0.468 0.733
Sm1 Sm 0.000 0.185 0.003
Y1 Y 0.000 0.402 0.403
Sc1 Sc 0.000 0.113 0.309
Sc2 Sc 0.000 0.138 0.683
# D(E_F)   13.8 states/eV/f.u.
# E_form   0.17 eV per atom
# Theoretical density   6.60 g/cm³
# Raw total energy   -5.0515 eV/atom

=====

No. 3
# FePb2S, relaxed, DFT PBE
data_FePb2S
_chemical_formula_sum 'Fe4 Pb8 S4'
_symmetry_space_group_name_H-M 'I -4 2 d'
_symmetry_Int_Tables_number 122
_symmetry_space_group_name_Hall 'I -4 2bw'
_cell_length_a 6.193
_cell_length_b 6.193
_cell_length_c 12.092
_cell_angle_alpha 90.00
_cell_angle_beta 90.00
_cell_angle_gamma 90.00
loop_
_atom_site_label
_atom_site_type_symbol
_atom_site_fract_x
_atom_site_fract_y
_atom_site_fract_z
Fe1 Fe 0.000 0.000 0.000
Pb1 Pb 0.215 0.250 0.125
S1 S 0.000 0.000 0.500
# D(E_F)   2.2 states/eV/f.u.
# Theoretical density   7.19 g/cm³
# Energy relative to the elements, uncorrected   14.2 kcal/mol of atoms
# Raw total energy   -4.3853 eV/atom

=====

No. 4
# TcBr, relaxed, DFT PBE
data_TcBr
_chemical_formula_sum 'Tc6 Br6'
_symmetry_space_group_name_H-M 'P 63/m'
_symmetry_Int_Tables_number 176
_symmetry_space_group_name_Hall '-P 6c'
_cell_length_a 10.4140
_cell_length_b 10.4140
_cell_length_c 3.6572
_cell_angle_alpha 90.00
_cell_angle_beta 90.00
_cell_angle_gamma 120.00
loop_
_atom_site_label
_atom_site_type_symbol
_atom_site_fract_x
_atom_site_fract_y
_atom_site_fract_z
Tc1 Tc 0.0047 0.4381 0.2500
Br1 Br 0.1659 0.3758 0.7500
# Polymorph energy (0 for the lowest one)   0.71 eV/f.u.
# D(E_F)   1.2 states/eV/f.u.
# Theoretical density   5.16 g/cm³
# Energy relative to the elements, uncorrected   9.2 kcal/mol of atoms
# Raw total energy   -5.6205 eV/atom

=====

No. 5
# BaCoHg2Pb, relaxed, DFT PBE
data_BaCoHg2Pb
_chemical_formula_sum 'Ba1 Co1 Hg2 Pb1'
_symmetry_space_group_name_H-M 'P 4/m m m'
_symmetry_Int_Tables_number 123
_symmetry_space_group_name_Hall '-P 4 2'
_cell_length_a 5.215
_cell_length_b 5.215
_cell_length_c 5.058
_cell_angle_alpha 90.00
_cell_angle_beta 90.00
_cell_angle_gamma 90.00
loop_
_atom_site_label
_atom_site_type_symbol
_atom_site_fract_x
_atom_site_fract_y
_atom_site_fract_z
Ba1 Ba 0.000 0.000 0.000
Co1 Co 0.500 0.500 0.500
Hg1 Hg 0.000 0.500 0.500
Pb1 Pb 0.500 0.500 0.000
# D(E_F)   3.5 states/eV/f.u.
# E_form   -0.15 eV per atom
# Theoretical density   9.72 g/cm³
# Raw total energy   -2.8182 eV/atom

=====

No. 6
# InFeHI2, relaxed, DFT PBE
data_InFeHI2
_chemical_formula_sum 'In1 Fe1 H1 I2'
_symmetry_space_group_name_H-M 'P 4/m m m'
_symmetry_Int_Tables_number 123
_symmetry_space_group_name_Hall '-P 4 2'
_cell_length_a 6.046
_cell_length_b 6.046
_cell_length_c 3.831
_cell_angle_alpha 90.00
_cell_angle_beta 90.00
_cell_angle_gamma 90.00
loop_
_atom_site_label
_atom_site_type_symbol
_atom_site_fract_x
_atom_site_fract_y
_atom_site_fract_z
In1 In 0.000 0.000 0.000
Fe1 Fe 0.500 0.500 0.500
H1 H 0.000 0.000 0.500
I1 I 0.000 0.500 0.000
# D(E_F)   3.1 states/eV/f.u.
# Theoretical density   5.05 g/cm³
# Raw total energy   -3.0065 eV/atom

=====

No. 7
# Tb12Pm2Nd5, relaxed, DFT PBE
data_Tb12Pm2Nd5
_chemical_formula_sum 'Tb24 Pm4 Nd10'
_symmetry_space_group_name_H-M 'C 1 2/m 1'
_symmetry_Int_Tables_number 12
_cell_length_a 18.459
_cell_length_b 7.116
_cell_length_c 10.451
_cell_angle_alpha 90.00
_cell_angle_beta 111.09
_cell_angle_gamma 90.00
loop_
_symmetry_equiv_pos_as_xyz
'x,y,z'
'-x,-y,-z'
'-x,y,-z'
'x,-y,z'
'x+1/2,y+1/2,z'
'-x+1/2,-y+1/2,-z'
'-x+1/2,y+1/2,-z'
'x+1/2,-y+1/2,z'
loop_
_atom_site_label
_atom_site_type_symbol
_atom_site_fract_x
_atom_site_fract_y
_atom_site_fract_z
Tb1 Tb 0.003 0.000 0.173
Tb2 Tb 0.026 0.500 0.745
Tb3 Tb 0.159 0.253 0.369
Tb4 Tb 0.163 0.247 0.021
Pm1 Pm 0.000 0.222 0.500
Nd1 Nd 0.000 0.500 0.000
Nd2 Nd 0.180 0.000 0.712
Nd3 Nd 0.188 0.500 0.684
# D(E_F)   29.2 states/eV/f.u.
# E_form   0.17 eV per atom
# Theoretical density   7.57 g/cm³
# Raw total energy   -4.5087 eV/atom

=====

No. 8
# Dy2GePt9, relaxed, DFT PBE
data_Dy2GePt9
_chemical_formula_sum 'Dy2 Ge1 Pt9'
_symmetry_space_group_name_H-M 'P 4/m m m'
_symmetry_Int_Tables_number 123
_symmetry_space_group_name_Hall '-P 4 2'
_cell_length_a 4.087
_cell_length_b 4.087
_cell_length_c 12.128
_cell_angle_alpha 90.00
_cell_angle_beta 90.00
_cell_angle_gamma 90.00
loop_
_atom_site_label
_atom_site_type_symbol
_atom_site_fract_x
_atom_site_fract_y
_atom_site_fract_z
Dy1 Dy 0.000 0.000 0.169
Ge1 Ge 0.000 0.000 0.500
Pt1 Pt 0.000 0.500 0.000
Pt2 Pt 0.000 0.500 0.345
Pt3 Pt 0.500 0.500 0.174
Pt4 Pt 0.500 0.500 0.500
# D(E_F)   10.8 states/eV/f.u.
# E_form   -0.77 eV per atom
# Theoretical density   17.65 g/cm³
# Raw total energy   -6.4512 eV/atom